# 1
A plane-wave DFT calculation with PBE-GGA was carried out for a relaxed structure of Cu2SnGeBi.

Properties
- energy of formation (eV per atom) = 0.83
- total energy (Ha/atom) = -0.12151
- crystal system = tetragonal
- excess energy over the best structure of this formula in the dataset (meV per atom) = 41.5
- size of the total moment (μB per cell) = 0.00

a b c (Å): 4.812 4.812 5.788
angles (deg): 90.00 90.00 90.00
Fractional coordinates of all 5 atoms:
Cu1 0.000 0.500 0.000
Cu2 0.500 0.000 0.000
Sn1 0.000 0.000 0.500
Ge1 0.500 0.500 0.500
Bi1 0.500 0.500 0.000


# 2
A plane-wave DFT calculation with PBE-GGA was carried out for a relaxed structure of Cu2SnGeBi.

Properties
- energy of formation (eV per atom) = 0.79
- total energy (Ha/atom) = -0.12303
- crystal system = tetragonal
- excess energy over the best structure of this formula in the dataset (meV per atom) = 0.0
- size of the total moment (μB per cell) = 0.00

a b c (Å): 4.795 4.795 6.085
angles (deg): 90.00 90.00 90.00
Fractional coordinates of all 5 atoms:
Cu1 0.000 0.500 0.000
Cu2 0.500 0.000 0.000
Sn1 0.000 0.000 0.000
Ge1 0.500 0.500 0.500
Bi1 0.000 0.000 0.500


# 3
A plane-wave DFT calculation with PBE-GGA was carried out for a relaxed structure of TaCuGe2Bi.

Properties
- energy of formation (eV per atom) = 0.99
- total energy (Ha/atom) = -0.17734
- crystal system = tetragonal
- size of the total moment (μB per cell) = 1.72

a b c (Å): 4.533 4.533 5.441
angles (deg): 90.00 90.00 90.00
Fractional coordinates of all 5 atoms:
Ta1 0.000 0.000 0.000
Cu1 0.500 0.500 0.500
Ge1 0.000 0.500 0.500
Ge2 0.500 0.000 0.500
Bi1 0.500 0.500 0.000


# 4
A plane-wave DFT calculation with PBE-GGA was carried out for a relaxed structure of Y2CuGeBi.

Properties
- energy of formation (eV per atom) = 0.75
- total energy (Ha/atom) = -0.16009
- crystal system = tetragonal
- size of the total moment (μB per cell) = 0.00

a b c (Å): 5.794 5.794 5.367
angles (deg): 90.00 90.00 90.00
Fractional coordinates of all 5 atoms:
Y1 0.000 0.500 0.000
Y2 0.500 0.000 0.000
Cu1 0.000 0.000 0.500
Ge1 0.500 0.500 0.500
Bi1 0.500 0.500 0.000


# 5
A plane-wave DFT calculation with PBE-GGA was carried out for a relaxed structure of CuBiH.

Properties
- total energy (Ha/atom) = -0.13118
- crystal system = triclinic
- excess energy over the best structure of this formula in the dataset (meV per atom) = 0.0
- size of the total moment (μB per cell) = 0.00

a b c (Å): 4.138 4.909 5.688
angles (deg): 115.04 101.65 90.08
Fractional coordinates of all 6 atoms:
Cu1 0.001 0.252 0.004
Cu2 0.999 0.748 0.996
Bi1 0.391 0.332 0.667
Bi2 0.609 0.668 0.333
H1 0.167 0.932 0.856
H2 0.833 0.068 0.144


# 6
A plane-wave DFT calculation with PBE-GGA was carried out for a relaxed structure of CuBiH2.

Properties
- total energy (Ha/atom) = -0.12342
- crystal system = tetragonal
- excess energy over the best structure of this formula in the dataset (meV per atom) = 0.0
- size of the total moment (μB per cell) = 0.00

a b c (Å): 5.189 5.189 5.189
angles (deg): 110.16 110.16 108.11
Fractional coordinates of all 8 atoms:
Cu1 0.000 0.000 0.000
Cu2 0.750 0.250 0.500
Bi1 0.250 0.750 0.500
Bi2 0.500 0.500 0.000
H1 0.375 0.123 0.248
H2 0.873 0.625 0.748
H3 0.875 0.127 0.752
H4 0.877 0.125 0.252


# 7
A plane-wave DFT calculation with PBE-GGA was carried out for a relaxed structure of Cu3BiH.

Properties
- total energy (Ha/atom) = -0.10164
- crystal system = cubic
- excess energy over the best structure of this formula in the dataset (meV per atom) = 834.5
- size of the total moment (μB per cell) = 1.00

a b c (Å): 5.070 5.070 5.070
angles (deg): 90.00 90.00 90.00
Fractional coordinates of all 5 atoms:
Cu1 0.000 0.000 0.500
Cu2 0.000 0.500 0.000
Cu3 0.500 0.000 0.000
Bi1 0.000 0.000 0.000
H1 0.500 0.500 0.500


# 8
A plane-wave DFT calculation with PBE-GGA was carried out for a relaxed structure of CuBiH3.

Properties
- total energy (Ha/atom) = -0.11227
- crystal system = cubic
- excess energy over the best structure of this formula in the dataset (meV per atom) = 0.0
- size of the total moment (μB per cell) = 0.00

a b c (Å): 3.732 3.732 3.732
angles (deg): 90.00 90.00 90.00
Fractional coordinates of all 5 atoms:
Cu1 0.000 0.000 0.000
Bi1 0.500 0.500 0.500
H1 0.000 0.000 0.500
H2 0.000 0.500 0.000
H3 0.500 0.000 0.000


# 9
A plane-wave DFT calculation with PBE-GGA was carried out for a relaxed structure of Cu3BiH.

Properties
- total energy (Ha/atom) = -0.13231
- crystal system = cubic
- excess energy over the best structure of this formula in the dataset (meV per atom) = 0.0
- size of the total moment (μB per cell) = 0.00

a b c (Å): 4.079 4.079 4.079
angles (deg): 90.00 90.00 90.00
Fractional coordinates of all 5 atoms:
Cu1 0.000 0.000 0.500
Cu2 0.000 0.500 0.000
Cu3 0.500 0.000 0.000
Bi1 0.500 0.500 0.500
H1 0.000 0.000 0.000


# 10
A plane-wave DFT calculation with PBE-GGA was carried out for a relaxed structure of CuBiH.

Properties
- total energy (Ha/atom) = -0.12086
- crystal system = tetragonal
- excess energy over the best structure of this formula in the dataset (meV per atom) = 280.9
- size of the total moment (μB per cell) = 0.00

a b c (Å): 4.359 4.359 6.709
angles (deg): 90.00 90.00 90.00
Fractional coordinates of all 6 atoms:
Cu1 0.250 0.750 0.000
Cu2 0.750 0.250 0.000
Bi1 0.250 0.250 0.228
Bi2 0.750 0.750 0.772
H1 0.250 0.250 0.502
H2 0.750 0.750 0.498


# 11
A plane-wave DFT calculation with PBE-GGA was carried out for a relaxed structure of CuBi2H2.

Properties
- total energy (Ha/atom) = -0.11829
- crystal system = tetragonal
- size of the total moment (μB per cell) = 0.00

a b c (Å): 7.179 7.179 7.179
angles (deg): 151.87 151.87 40.21
Fractional coordinates of all 5 atoms:
Cu1 0.000 0.000 0.000
Bi1 0.370 0.370 0.000
Bi2 0.630 0.630 0.000
H1 0.250 0.750 0.500
H2 0.750 0.250 0.500


# 12
A plane-wave DFT calculation with PBE-GGA was carried out for a relaxed structure of CuBiH2.

Properties
- total energy (Ha/atom) = -0.10657
- crystal system = cubic
- excess energy over the best structure of this formula in the dataset (meV per atom) = 458.7
- size of the total moment (μB per cell) = 0.00

a b c (Å): 4.122 4.122 4.122
angles (deg): 60.00 60.00 60.00
Fractional coordinates of all 4 atoms:
Cu1 0.000 0.000 0.000
Bi1 0.500 0.500 0.500
H1 0.250 0.250 0.250
H2 0.750 0.750 0.750


# 13
A plane-wave DFT calculation with PBE-GGA was carried out for a relaxed structure of CuBiH3.

Properties
- total energy (Ha/atom) = -0.09992
- crystal system = cubic
- excess energy over the best structure of this formula in the dataset (meV per atom) = 336.1
- size of the total moment (μB per cell) = 0.00

a b c (Å): 4.148 4.148 4.148
angles (deg): 90.00 90.00 90.00
Fractional coordinates of all 5 atoms:
Cu1 0.000 0.000 0.000
Bi1 0.500 0.500 0.500
H1 0.000 0.500 0.500
H2 0.500 0.000 0.500
H3 0.500 0.500 0.000